(1)
LaPuTeS, optimized geometry, DFT GGA-PBE; energy relative to the elements, uncorrected = -1.6356 eV/atom
1.0
-3.0208 -2.7382 1.0944
0.9792 -3.4351 2.2499
-1.7996 1.6093 7.2006
La S Pu Te
1 1 1 1
Cartesian
-2.0803 -6.0461 3.5553
-0.9758 -1.0903 2.7204
-1.8794 -2.4169 5.0485
-2.8677 -3.4659 7.8374

(2)
LaPuTh2S4, optimized geometry, DFT GGA-PBE; energy relative to the elements, uncorrected = -1.9006 eV/atom
1.0
4.0387 0.0000 0.0000
0.0000 7.0010 0.1184
0.0000 -2.4481 6.5991
S Th La Pu
4 2 1 1
Cartesian
2.0193 1.1826 1.6863
2.0193 3.3703 5.0312
0.0000 -0.0396 5.0102
0.0000 4.5924 1.7073
0.0000 2.2764 3.3588
2.0193 -1.2241 3.2995
0.0000 0.0000 0.0000
2.0193 3.5005 0.0592

(3)
La3PuTl4S8, optimized geometry, DFT GGA-PBE; energy relative to the elements, uncorrected = -1.4331 eV/atom
1.0
8.4892 0.0000 0.0000
0.0000 8.8977 0.2820
-4.2446 -4.2405 6.0055
S Pu Tl La
8 1 4 3
Cartesian
4.2446 4.2836 3.0244
-2.1782 2.1201 6.0360
6.4228 2.5371 0.2516
2.0665 2.5371 0.2516
0.0000 0.3736 3.2632
2.1782 2.1201 6.0360
0.0000 4.2962 2.9543
4.2446 0.3610 3.3333
0.0000 4.4488 0.1410
0.0000 0.0000 0.0000
2.1223 -2.1202 3.0028
4.2446 0.0000 0.0000
-2.1223 -2.1202 3.0028
2.1223 2.3286 3.1438
-2.1223 2.3286 3.1438
4.2446 4.4488 0.1410

(4)
LaPu2Tl3S6, optimized geometry, DFT GGA-PBE; energy relative to the elements, uncorrected = -1.3062 eV/atom
1.0
-5.7346 -2.1545 -3.7750
2.7272 -4.2448 5.1306
-3.4923 5.3017 4.5627
S Pu La Tl
6 2 1 3
Cartesian
-2.8798 -0.1135 -0.3067
-3.6485 2.4642 4.0451
-3.6199 -0.9841 6.2250
-2.8513 -3.5618 1.8733
-6.5476 -0.2609 3.1438
0.0478 -0.8367 2.7745
-0.0933 -3.5480 2.1621
-2.9141 -2.8513 -0.8065
0.0000 0.0000 0.0000
-0.4290 -1.2456 5.9279
-3.2499 -0.5488 2.9592
-6.0707 0.1480 -0.0096

(5)
La3TmPu2S6, optimized geometry, DFT GGA-PBE; energy relative to the elements, uncorrected = -1.9978 eV/atom
1.0
6.9651 -0.0013 0.0012
-3.4820 6.0323 0.0012
-1.1608 -2.0100 6.6542
Pu La S Tm
2 3 6 1
Cartesian
3.4801 2.0114 0.0012
0.0030 4.0196 0.0012
4.6248 0.0101 3.3283
1.1611 2.0105 3.3283
-2.3025 4.0109 3.3283
2.2851 -0.0009 1.5351
0.0372 4.0219 5.1214
2.3412 4.0538 1.5540
-1.1427 1.9788 1.5351
-0.0190 -0.0328 5.1025
3.4650 2.0422 5.1214
0.0000 0.0000 0.0000

(6)
La4Y3PuS8, optimized geometry, DFT GGA-PBE; energy relative to the elements, uncorrected = -2.0617 eV/atom
1.0
-5.8590 -4.5824 3.0803
1.1122 -5.4154 -5.9407
6.2230 2.2108 4.6048
Y La S Pu
3 4 8 1
Cartesian
-2.3734 -4.9989 -1.4302
0.7381 -3.8935 0.8722
3.6676 -1.6023 -0.6680
3.1115 1.1054 2.3024
-2.9295 -2.2912 1.5401
0.1820 -1.1858 3.8425
0.0000 0.0000 0.0000
1.9878 -1.4982 1.5522
2.6086 -5.1841 2.4831
2.4275 -4.0044 -1.3397
-0.5116 -6.2888 0.1922
-0.9514 -3.7826 3.0840
-4.0469 -4.8823 0.7935
-1.1325 -2.6029 -0.7388
5.5230 -2.9047 0.9509
0.5561 -2.7077 -2.9704

(7)
La3YPu2S6, optimized geometry, DFT GGA-PBE; energy relative to the elements, uncorrected = -2.0104 eV/atom
1.0
-0.7280 -6.2632 3.0199
4.1969 4.7986 2.8700
-6.2692 2.8133 1.6301
S Pu La Y
6 2 3 1
Cartesian
-3.9174 1.7812 2.7408
0.1998 2.1352 1.7912
-3.0002 -0.7866 5.7288
-1.4348 -1.5362 1.8410
1.1170 -0.4326 4.7792
-1.3656 2.8849 5.6791
0.9141 -2.5748 2.9699
2.5548 1.1102 2.9200
-1.4002 0.6743 3.7600
0.2382 4.3543 3.7102
-3.0386 -3.0056 3.8099
0.0000 0.0000 0.0000

(8)
La2YPuS4, optimized geometry, DFT GGA-PBE; energy relative to the elements, uncorrected = -2.0327 eV/atom
1.0
4.0223 0.0000 0.0000
0.0000 6.9942 0.1328
0.0000 -2.4373 6.6209
Pu S La Y
1 4 2 1
Cartesian
2.0112 3.4971 0.0664
2.0112 1.1272 1.5726
2.0112 3.4296 5.1810
0.0000 4.6476 1.6455
0.0000 -0.0907 5.1081
2.0112 -1.2187 3.3104
0.0000 2.2784 3.3768
0.0000 0.0000 0.0000

(9)
LaYPu2S4, optimized geometry, DFT GGA-PBE; energy relative to the elements, uncorrected = -1.9278 eV/atom
1.0
3.9880 0.0000 0.0000
0.0000 6.9262 0.1188
0.0000 -2.4044 6.5148
Pu La S Y
2 1 4 1
Cartesian
1.9940 -1.2022 3.2574
0.0000 2.2609 3.3168
0.0000 0.0000 0.0000
0.0000 4.5350 1.7342
0.0000 -0.0132 4.8994
1.9940 3.3332 4.9131
1.9940 1.1886 1.7205
1.9940 3.4631 0.0594

(10)
LaPuSb2, optimized geometry, DFT GGA-PBE; polymorph energy (0 for the lowest one) = 0.124 eV/atom; energy relative to the elements, uncorrected = -0.7981 eV/atom
1.0
-0.7762 1.0391 3.0983
4.8544 -2.5140 2.0593
2.9560 4.9538 -0.9209
Pu La Sb
1 1 2
Cartesian
3.5171 1.7395 2.1183
-0.3881 0.5196 1.5491
1.4780 2.4769 -0.4604
2.4272 -1.2570 1.0296